No. 1
VASP calculation (PBE) on an optimized crystal structure of RbYZn2Mo.

The structure belongs to space group P4/mmm (No. 123); the cell edges are 5.054, 5.054 and 5.209 Å and the angles 90.00°, 90.00° and 90.00°. The asymmetric unit holds Rb at (0.000, 0.000, 0.000), Y at (0.500, 0.500, 0.000), Zn at (0.000, 0.500, 0.500) and Mo at (0.000, 0.000, 0.500).

The value obtained for the density of states at the Fermi level is 3.79 states/eV/cell. Its formation energy is 1.1334 eV per atom.

---

No. 2
VASP calculation (PBE) on an optimized crystal structure of RbZnMo2.

The structure belongs to space group I-42d (No. 122); the cell edges are 4.494, 4.494 and 20.364 Å and the angles 90.00°, 90.00° and 90.00°. The asymmetric unit holds Rb at (0.000, 0.000, 0.000), Zn at (0.000, 0.000, 0.500) and Mo at (0.082, 0.750, 0.625).

The value obtained for the density of states at the Fermi level is 18.01 states/eV/cell. Its formation energy is 1.4669 eV per atom.

---

No. 3
VASP calculation (PBE) on an optimized crystal structure of RbZn3Mo.

The structure belongs to space group Pm-3m (No. 221); the cell edges are 6.170, 6.170 and 6.170 Å and the angles 90.00°, 90.00° and 90.00°. The asymmetric unit holds Rb at (0.000, 0.000, 0.000), Zn at (0.000, 0.000, 0.500) and Mo at (0.500, 0.500, 0.500).

For the energy relative to the lowest polymorph listed for this composition, the calculation gives 1151 meV/atom. The value obtained for the density of states at the Fermi level is 2.21 states/eV/cell. Its formation energy is 1.7630 eV per atom.

---

No. 4
VASP calculation (PBE) on an optimized crystal structure of RbZn3Mo.

The structure belongs to space group Pm-3m (No. 221); the cell edges are 5.168, 5.168 and 5.168 Å and the angles 90.00°, 90.00° and 90.00°. The asymmetric unit holds Rb at (0.000, 0.000, 0.000), Zn at (0.000, 0.500, 0.500) and Mo at (0.500, 0.500, 0.500).

For the energy relative to the lowest polymorph listed for this composition, the calculation gives 0 meV/atom. The value obtained for the density of states at the Fermi level is 3.74 states/eV/cell. Its formation energy is 0.6117 eV per atom.

---

No. 5
VASP calculation (PBE) on an optimized crystal structure of Rb2ZnMo.

The structure belongs to space group I-42d (No. 122); the cell edges are 12.945, 12.945 and 5.175 Å and the angles 90.00°, 90.00° and 90.00°. The asymmetric unit holds Rb at (0.084, 0.750, 0.125), Zn at (0.000, 0.000, 0.000) and Mo at (0.000, 0.000, 0.500).

The value obtained for the density of states at the Fermi level is 9.30 states/eV/cell. Its formation energy is 1.1151 eV per atom.

---

No. 6
VASP calculation (PBE) on an optimized crystal structure of RbZr2Mo.

The structure belongs to space group I4_1/amd (No. 141, origin choice 2); the cell edges are 7.926, 7.926 and 11.367 Å and the angles 90.00°, 90.00° and 90.00°. The asymmetric unit holds Rb at (0.000, 0.250, 0.375), Zr at (0.000, 0.000, 0.000) and Mo at (0.000, 0.250, 0.875).

For the energy relative to the lowest polymorph listed for this composition, the calculation gives 179 meV/atom. The value obtained for the density of states at the Fermi level is 19.21 states/eV/cell. Its formation energy is 1.3436 eV per atom.

---

No. 7
VASP calculation (PBE) on an optimized crystal structure of RbZrMo2.

The structure belongs to space group I-42d (No. 122); the cell edges are 4.734, 4.734 and 19.652 Å and the angles 90.00°, 90.00° and 90.00°. The asymmetric unit holds Rb at (0.000, 0.000, 0.000), Zr at (0.000, 0.000, 0.500) and Mo at (0.086, 0.250, 0.625).

For the energy relative to the lowest polymorph listed for this composition, the calculation gives 0 meV/atom. The value obtained for the density of states at the Fermi level is 19.84 states/eV/cell. Its formation energy is 1.7255 eV per atom.

---

No. 8
VASP calculation (PBE) on an optimized crystal structure of RbZrMo2.

The structure belongs to space group Fm-3m (No. 225); the cell edges are 6.962, 6.962 and 6.962 Å and the angles 90.00°, 90.00° and 90.00°. The asymmetric unit holds Rb at (0.000, 0.000, 0.000), Zr at (0.000, 0.000, 0.500) and Mo at (0.250, 0.250, 0.250).

For the energy relative to the lowest polymorph listed for this composition, the calculation gives 7 meV/atom. The value obtained for the density of states at the Fermi level is 26.15 states/eV/cell. Its formation energy is 1.7330 eV per atom.

---

No. 9
VASP calculation (PBE) on an optimized crystal structure of RbZr2Mo.

The structure belongs to space group Fm-3m (No. 225); the cell edges are 7.150, 7.150 and 7.150 Å and the angles 90.00°, 90.00° and 90.00°. The asymmetric unit holds Rb at (0.000, 0.000, 0.000), Zr at (0.250, 0.250, 0.250) and Mo at (0.000, 0.000, 0.500).

For the energy relative to the lowest polymorph listed for this composition, the calculation gives 0 meV/atom. The value obtained for the density of states at the Fermi level is 24.46 states/eV/cell. Its formation energy is 1.1644 eV per atom.

---

No. 10
VASP calculation (PBE) on an optimized crystal structure of RbZr3Mo.

The structure belongs to space group Pm-3m (No. 221); the cell edges are 4.940, 4.940 and 4.940 Å and the angles 90.00°, 90.00° and 90.00°. The asymmetric unit holds Rb at (0.000, 0.000, 0.000), Zr at (0.000, 0.000, 0.500) and Mo at (0.500, 0.500, 0.500).

For the energy relative to the lowest polymorph listed for this composition, the calculation gives 1522 meV/atom. The value obtained for the density of states at the Fermi level is 9.52 states/eV/cell. Its formation energy is 2.4155 eV per atom.

---

No. 11
VASP calculation (PBE) on an optimized crystal structure of RbZr3Mo.

The structure belongs to space group Pm-3m (No. 221); the cell edges are 5.270, 5.270 and 5.270 Å and the angles 90.00°, 90.00° and 90.00°. The asymmetric unit holds Rb at (0.000, 0.000, 0.000), Zr at (0.000, 0.500, 0.500) and Mo at (0.500, 0.500, 0.500).

For the energy relative to the lowest polymorph listed for this composition, the calculation gives 0 meV/atom. The value obtained for the density of states at the Fermi level is 6.26 states/eV/cell. Its formation energy is 0.8932 eV per atom.

---

No. 12
VASP calculation (PBE) on an optimized crystal structure of ReMo4.

The structure belongs to space group I4/mmm (No. 139); the cell edges are 4.017, 4.017 and 10.967 Å and the angles 90.00°, 90.00° and 90.00°. The asymmetric unit holds Re at (0.000, 0.000, 0.000), Mo at (0.000, 0.000, 0.392) and Mo at (0.000, 0.500, 0.250).

For the energy relative to the lowest polymorph listed for this composition, the calculation gives 1182 meV/atom. The value obtained for the density of states at the Fermi level is 13.03 states/eV/cell. Its formation energy is 1.1985 eV per atom.

---

No. 13
VASP calculation (PBE) on an optimized crystal structure of Re4Mo3.

The structure belongs to space group P6/mmm (No. 191); the cell edges are 4.9937, 4.9937 and 5.0768 Å and the angles 90.00°, 90.00° and 120.00°. The asymmetric unit holds Re at (0.0000, 0.0000, 0.2340), Re at (0.3333, 0.6667, 0.0000) and Mo at (0.0000, 0.5000, 0.5000).

For the energy relative to the lowest polymorph listed for this composition, the calculation gives 123 meV/atom. The value obtained for the density of states at the Fermi level is 5.20 states/eV/cell. Its formation energy is 0.2684 eV per atom.

---

No. 14
VASP calculation (PBE) on an optimized crystal structure of Re7Mo6.

The structure belongs to space group R-3m (No. 166, hexagonal axes); the cell edges are 5.1282, 5.1282 and 27.3470 Å and the angles 90.00°, 90.00° and 120.00°. The asymmetric unit holds Re at (0.0000, 0.0000, 0.0000), Re at (0.0040, 0.5020, 0.4117), Mo at (0.0000, 0.0000, 0.1663), Mo at (0.0000, 0.0000, 0.3485) and Mo at (0.0000, 0.0000, 0.4534).

The value obtained for the density of states at the Fermi level is 39.83 states/eV/cell. Its formation energy is 0.1173 eV per atom.